<one>
VASP calculation (GGA-PBE) on Na3TlBi after structural relaxation.

It has space group Pm-3m (No. 221), with a = 5.976 Å, b = 5.976 Å, c = 5.976 Å, α = 90.00°, β = 90.00° and γ = 90.00°. Symmetry generates all atoms from Na at (0.000, 0.000, 0.500), Tl at (0.500, 0.500, 0.500) and Bi at (0.000, 0.000, 0.000).

As for the density of states at the Fermi level: 4.645 states/eV per cell. The value obtained for the size of the total moment is 0.00 μB per formula unit.

<two>
VASP calculation (GGA-PBE) on Na3TlBi after structural relaxation.

It has space group P2_1/m (No. 11), with a = 6.558 Å, b = 5.408 Å, c = 8.731 Å, α = 90.00°, β = 105.80° and γ = 90.00°. Symmetry generates all atoms from Na at (0.011, 0.250, 0.316), Na at (0.330, 0.750, 0.479), Na at (0.449, 0.250, 0.106), Tl at (0.091, 0.750, 0.093) and Bi at (0.293, 0.250, 0.705).

As for the density of states at the Fermi level: 3.692 states/eV per cell. The value obtained for the size of the total moment is 0.00 μB per formula unit.

Result of the stability comparison: <two> is the most stable of them.

<one>
VASP calculation (GGA-PBE) on NaTl6Bi3 after structural relaxation.

It has space group P2_1/m (No. 11), with a = 11.481 Å, b = 5.326 Å, c = 12.423 Å, α = 90.00°, β = 113.97° and γ = 90.00°. Symmetry generates all atoms from Na at (0.139, 0.250, 0.248), Tl at (0.077, 0.250, 0.826), Tl at (0.118, 0.750, 0.017), Tl at (0.139, 0.250, 0.549), Tl at (0.328, 0.750, 0.292), Tl at (0.387, 0.750, 0.952), Tl at (0.400, 0.750, 0.660), Bi at (0.124, 0.750, 0.700), Bi at (0.331, 0.250, 0.095) and Bi at (0.398, 0.250, 0.502).

As for the density of states at the Fermi level: 8.410 states/eV per cell. The value obtained for the size of the total moment is 0.00 μB per formula unit.

<two>
VASP calculation (GGA-PBE) on NaTl6Bi3 after structural relaxation.

It has space group P2_1/c (No. 14), with a = 6.208 Å, b = 9.706 Å, c = 12.513 Å, α = 90.00°, β = 116.01° and γ = 90.00°. Symmetry generates all atoms from Na at (0.000, 0.000, 0.000), Tl at (0.031, 0.160, 0.565), Tl at (0.362, 0.707, 0.757), Tl at (0.390, 0.160, 0.921), Bi at (0.032, 0.079, 0.254) and Bi at (0.500, 0.000, 0.500).

As for the density of states at the Fermi level: 8.102 states/eV per cell. The value obtained for the size of the total moment is 0.00 μB per formula unit.

Result of the stability comparison: <one> is the most stable of them.

<one>
VASP calculation (GGA-PBE) on Na3Tl4Bi2 after structural relaxation.

It has space group C2/m (No. 12), with a = 10.190 Å, b = 5.814 Å, c = 10.004 Å, α = 90.00°, β = 107.60° and γ = 90.00°. Symmetry generates all atoms from Na at (0.000, 0.000, 0.000), Na at (0.133, 0.500, 0.383), Tl at (0.044, 0.000, 0.675), Tl at (0.173, 0.500, 0.046) and Bi at (0.230, 0.500, 0.729).

As for the density of states at the Fermi level: 6.461 states/eV per cell. The value obtained for the size of the total moment is 0.00 μB per formula unit.

<two>
VASP calculation (GGA-PBE) on Na3Tl4Bi2 after structural relaxation.

It has space group P-1 (No. 2), with a = 5.933 Å, b = 6.010 Å, c = 9.235 Å, α = 71.27°, β = 88.01° and γ = 60.65°. Symmetry generates all atoms from Na at (0.000, 0.000, 0.000), Na at (0.453, 0.408, 0.339), Tl at (0.114, 0.096, 0.330), Tl at (0.329, 0.338, 0.999) and Bi at (0.221, 0.250, 0.674).

As for the density of states at the Fermi level: 3.107 states/eV per cell. The value obtained for the size of the total moment is 0.00 μB per formula unit.

Result of the stability comparison: <two> is the most stable of them.

<one>
VASP calculation (GGA-PBE) on Na3Tl4Bi after structural relaxation.

It has space group P-1 (No. 2), with a = 4.846 Å, b = 4.855 Å, c = 10.446 Å, α = 103.23°, β = 103.33° and γ = 90.09°. Symmetry generates all atoms from Na at (0.000, 0.000, 0.000), Na at (0.122, 0.623, 0.246), Tl at (0.244, 0.244, 0.489), Tl at (0.379, 0.877, 0.755) and Bi at (0.500, 0.500, 0.000).

As for the density of states at the Fermi level: 2.933 states/eV per cell. The value obtained for the size of the total moment is 0.00 μB per formula unit.

<two>
VASP calculation (GGA-PBE) on Na3Tl4Bi after structural relaxation.

It has space group Immm (No. 71), with a = 3.512 Å, b = 6.389 Å, c = 22.074 Å, α = 90.00°, β = 90.00° and γ = 90.00°. Symmetry generates all atoms from Na at (0.000, 0.000, 0.000), Na at (0.000, 0.500, 0.238), Tl at (0.000, 0.252, 0.372) and Bi at (0.000, 0.000, 0.500).

As for the density of states at the Fermi level: 9.313 states/eV per cell. The value obtained for the size of the total moment is 0.00 μB per formula unit.

Result of the stability comparison: <one> is the most stable of them.

<one>
VASP calculation (GGA-PBE) on NaTmBi2 after structural relaxation.

It has space group Fm-3m (No. 225), with a = 7.745 Å, b = 7.745 Å, c = 7.745 Å, α = 90.00°, β = 90.00° and γ = 90.00°. Symmetry generates all atoms from Na at (0.000, 0.000, 0.000), Tm at (0.000, 0.000, 0.500) and Bi at (0.250, 0.250, 0.250).

As for the density of states at the Fermi level: 16.176 states/eV per cell. The value obtained for the size of the total moment is 0.00 μB per formula unit.

<two>
VASP calculation (GGA-PBE) on NaTmBi2 after structural relaxation.

It has space group P4/mmm (No. 123), with a = 5.172 Å, b = 5.172 Å, c = 4.260 Å, α = 90.00°, β = 90.00° and γ = 90.00°. Symmetry generates all atoms from Na at (0.000, 0.000, 0.000), Tm at (0.500, 0.500, 0.000) and Bi at (0.000, 0.500, 0.500).

As for the density of states at the Fermi level: 2.228 states/eV per cell. The value obtained for the size of the total moment is 0.00 μB per formula unit.

<three>
VASP calculation (GGA-PBE) on NaTmBi2 after structural relaxation.

It has space group R3m (No. 160, hexagonal axes), with a = 4.8476 Å, b = 4.8476 Å, c = 19.1710 Å, α = 90.00°, β = 90.00° and γ = 120.00°. Symmetry generates all atoms from Na at (0.0000, 0.0000, 0.0000), Tm at (0.0000, 0.0000, 0.8202), Bi at (0.0000, 0.0000, 0.2371) and Bi at (0.0000, 0.0000, 0.4093).

As for the density of states at the Fermi level: 3.446 states/eV per cell. The value obtained for the size of the total moment is 0.00 μB per formula unit.

Result of the stability comparison: <two> is the most stable of them.

<one>
VASP calculation (GGA-PBE) on NaVBi3 after structural relaxation.

It has space group Pm-3m (No. 221), with a = 5.378 Å, b = 5.378 Å, c = 5.378 Å, α = 90.00°, β = 90.00° and γ = 90.00°. Symmetry generates all atoms from Na at (0.000, 0.000, 0.000), V at (0.500, 0.500, 0.500) and Bi at (0.000, 0.500, 0.500).

As for the density of states at the Fermi level: 5.371 states/eV per cell. The value obtained for the size of the total moment is 0.00 μB per formula unit.

<two>
VASP calculation (GGA-PBE) on NaVBi3 after structural relaxation.

It has space group Pm-3m (No. 221), with a = 5.442 Å, b = 5.442 Å, c = 5.442 Å, α = 90.00°, β = 90.00° and γ = 90.00°. Symmetry generates all atoms from Na at (0.000, 0.000, 0.000), V at (0.500, 0.500, 0.500) and Bi at (0.000, 0.000, 0.500).

As for the density of states at the Fermi level: 6.556 states/eV per cell. The value obtained for the size of the total moment is 3.56 μB per formula unit.

Result of the stability comparison: <one> is the most stable of them.

<one>
VASP calculation (GGA-PBE) on Na3YBi after structural relaxation.

It has space group Pm-3m (No. 221), with a = 5.878 Å, b = 5.878 Å, c = 5.878 Å, α = 90.00°, β = 90.00° and γ = 90.00°. Symmetry generates all atoms from Na at (0.000, 0.000, 0.500), Y at (0.500, 0.500, 0.500) and Bi at (0.000, 0.000, 0.000).

As for the density of states at the Fermi level: 3.639 states/eV per cell. The value obtained for the size of the total moment is 1.00 μB per formula unit.

<two>
VASP calculation (GGA-PBE) on Na3YBi after structural relaxation.

It has space group Pm-3m (No. 221), with a = 6.038 Å, b = 6.038 Å, c = 6.038 Å, α = 90.00°, β = 90.00° and γ = 90.00°. Symmetry generates all atoms from Na at (0.000, 0.000, 0.500), Y at (0.000, 0.000, 0.000) and Bi at (0.500, 0.500, 0.500).

As for the density of states at the Fermi level: 3.487 states/eV per cell. The value obtained for the size of the total moment is 1.06 μB per formula unit.

Result of the stability comparison: <one> is the most stable of them.

<one>
VASP calculation (GGA-PBE) on Na2YBi2 after structural relaxation.

It has space group P4/mbm (No. 127), with a = 9.130 Å, b = 9.130 Å, c = 3.417 Å, α = 90.00°, β = 90.00° and γ = 90.00°. Symmetry generates all atoms from Na at (0.111, 0.389, 0.000), Y at (0.000, 0.000, 0.000) and Bi at (0.187, 0.687, 0.500).

As for the density of states at the Fermi level: 3.935 states/eV per cell. The value obtained for the size of the total moment is 0.00 μB per formula unit.

<two>
VASP calculation (GGA-PBE) on Na2YBi2 after structural relaxation.

It has space group P4/mbm (No. 127), with a = 9.088 Å, b = 9.088 Å, c = 3.614 Å, α = 90.00°, β = 90.00° and γ = 90.00°. Symmetry generates all atoms from Na at (0.120, 0.380, 0.000), Y at (0.000, 0.000, 0.500) and Bi at (0.181, 0.681, 0.500).

As for the density of states at the Fermi level: 3.844 states/eV per cell. The value obtained for the size of the total moment is 0.00 μB per formula unit.

<three>
VASP calculation (GGA-PBE) on Na2YBi2 after structural relaxation.

It has space group I4/mmm (No. 139), with a = 5.694 Å, b = 5.694 Å, c = 9.317 Å, α = 90.00°, β = 90.00° and γ = 90.00°. Symmetry generates all atoms from Na at (0.000, 0.000, 0.140), Y at (0.000, 0.000, 0.500) and Bi at (0.000, 0.500, 0.250).

As for the density of states at the Fermi level: 5.616 states/eV per cell. The value obtained for the size of the total moment is 0.00 μB per formula unit.

Result of the stability comparison: <two> is the most stable of them.

<one>
VASP calculation (GGA-PBE) on NaYBi2 after structural relaxation.

It has space group Fm-3m (No. 225), with a = 7.795 Å, b = 7.795 Å, c = 7.795 Å, α = 90.00°, β = 90.00° and γ = 90.00°. Symmetry generates all atoms from Na at (0.000, 0.000, 0.000), Y at (0.000, 0.000, 0.500) and Bi at (0.250, 0.250, 0.250).

As for the density of states at the Fermi level: 16.213 states/eV per cell. The value obtained for the size of the total moment is 0.00 μB per formula unit.

<two>
VASP calculation (GGA-PBE) on NaYBi2 after structural relaxation.

It has space group P4/mmm (No. 123), with a = 3.661 Å, b = 3.661 Å, c = 8.973 Å, α = 90.00°, β = 90.00° and γ = 90.00°. Symmetry generates all atoms from Na at (0.000, 0.000, 0.000), Y at (0.000, 0.000, 0.500) and Bi at (0.500, 0.500, 0.259).

As for the density of states at the Fermi level: 1.776 states/eV per cell. The value obtained for the size of the total moment is 0.00 μB per formula unit.

Result of the stability comparison: <two> is the most stable of them.

<one>
VASP calculation (GGA-PBE) on Na2Zn2Bi after structural relaxation.

It has space group P4/mbm (No. 127), with a = 8.458 Å, b = 8.458 Å, c = 3.577 Å, α = 90.00°, β = 90.00° and γ = 90.00°. Symmetry generates all atoms from Na at (0.162, 0.338, 0.000), Zn at (0.130, 0.630, 0.500) and Bi at (0.000, 0.000, 0.000).

As for the density of states at the Fermi level: 2.559 states/eV per cell. The value obtained for the size of the total moment is 0.00 μB per formula unit.

<two>
VASP calculation (GGA-PBE) on Na2Zn2Bi after structural relaxation.

It has space group P4/mbm (No. 127), with a = 7.257 Å, b = 7.257 Å, c = 4.907 Å, α = 90.00°, β = 90.00° and γ = 90.00°. Symmetry generates all atoms from Na at (0.179, 0.321, 0.000), Zn at (0.120, 0.620, 0.500) and Bi at (0.000, 0.000, 0.500).

As for the density of states at the Fermi level: 3.014 states/eV per cell. The value obtained for the size of the total moment is 0.00 μB per formula unit.

Result of the stability comparison: <two> is the most stable of them.

<one>
VASP calculation (GGA-PBE) on Na2ZnBi2 after structural relaxation.

It has space group P4/mbm (No. 127), with a = 9.464 Å, b = 9.464 Å, c = 3.472 Å, α = 90.00°, β = 90.00° and γ = 90.00°. Symmetry generates all atoms from Na at (0.180, 0.320, 0.000), Zn at (0.000, 0.000, 0.000) and Bi at (0.114, 0.614, 0.500).

As for the density of states at the Fermi level: 5.650 states/eV per cell. The value obtained for the size of the total moment is 0.00 μB per formula unit.

<two>
VASP calculation (GGA-PBE) on Na2ZnBi2 after structural relaxation.

It has space group Ibam (No. 72), with a = 6.873 Å, b = 13.459 Å, c = 6.252 Å, α = 90.00°, β = 90.00° and γ = 90.00°. Symmetry generates all atoms from Na at (0.154, 0.105, 0.000), Zn at (0.000, 0.500, 0.250) and Bi at (0.168, 0.347, 0.000).

As for the density of states at the Fermi level: 11.013 states/eV per cell. The value obtained for the size of the total moment is 0.00 μB per formula unit.

<three>
VASP calculation (GGA-PBE) on Na2ZnBi2 after structural relaxation.

It has space group I4/mmm (No. 139), with a = 4.188 Å, b = 4.188 Å, c = 16.487 Å, α = 90.00°, β = 90.00° and γ = 90.00°. Symmetry generates all atoms from Na at (0.000, 0.500, 0.250), Zn at (0.000, 0.000, 0.000) and Bi at (0.000, 0.000, 0.408).

As for the density of states at the Fermi level: 4.707 states/eV per cell. The value obtained for the size of the total moment is 0.00 μB per formula unit.

Result of the stability comparison: <two> is the most stable of them.